A relaxed LiCaSc2H crystal, computed with PBE.

a = 4.4403 Å, b = 5.4145 Å, c = 4.4403 Å
α = 90.00°, β = 90.00°, γ = 90.00°
Each line ends with the local moment (μB).
Fractional coordinates of all 5 atoms:
Sc  0.0000  0.0000  0.5000  0.22
Sc  0.5000  0.0000  0.0000  0.25
Li  0.0000  0.5000  0.0000  -0.01
H  0.0000  0.0000  0.0000  0.00
Ca  0.5000  0.5000  0.5000  0.00

excess energy over the best structure of this formula in the dataset: 35 meV per atom
M_tot: 0.627 μB per cell
D(E_F): 5.77 states/eV per cell